Entry 1:
Crystalline PrTh2Pd at its relaxed geometry, computed with PBE-GGA.

POSCAR file:
```
PrTh2Pd
1.0
3.7907 0.0000 0.0000
0.0000 10.3064 0.0000
-1.8934 0.0000 6.0209
Pr Th Pd
2 4 2
Direct
0.0789 0.2500 0.1595 Pr
0.9211 0.7500 0.8405 Pr
0.3638 0.0502 0.7266 Th
0.3638 0.4498 0.7266 Th
0.6362 0.5502 0.2734 Th
0.6362 0.9498 0.2734 Th
0.2119 0.7500 0.4239 Pd
0.7881 0.2500 0.5761 Pd
```

Values from the calculation:
As for the energy above the lowest structure with this stoichiometry: 0 meV/atom.

---

Entry 2:
Crystalline Pr2ThPd3 at its relaxed geometry, computed with PBE-GGA.

POSCAR file:
```
Pr2ThPd3
1.0
6.7337 -2.9900 0.0000
6.7337 2.9900 0.0000
-1.2963 0.0000 3.9857
Pr Th Pd
2 1 3
Direct
0.1668 0.1668 0.1665 Pr
0.8332 0.8332 0.8335 Pr
0.5000 0.5000 0.5000 Th
0.0000 0.0000 0.5000 Pd
0.3409 0.3409 0.8405 Pd
0.6591 0.6591 0.1595 Pd
```

Values from the calculation:
The calculation puts the energy at -0.224 hartree per atom.

---

Entry 3:
Crystalline PrTh2Pd at its relaxed geometry, computed with PBE-GGA.

POSCAR file:
```
PrTh2Pd
1.0
3.6963 0.0000 0.0000
0.0000 3.6963 0.0000
0.0000 0.0000 8.4756
Pr Th Pd
1 2 1
Direct
0.0000 0.0000 0.0000 Pr
0.5000 0.5000 0.2962 Th
0.5000 0.5000 0.7038 Th
0.0000 0.0000 0.5000 Pd
```

Values from the calculation:
As for the energy above the lowest structure with this stoichiometry: 91 meV/atom.

---

Entry 4:
Crystalline PrTh2Pd at its relaxed geometry, computed with PBE-GGA.

POSCAR file:
```
PrTh2Pd
1.0
1.7791 1.0271 11.1378
-1.7791 1.0271 11.1378
0.0000 -2.0543 11.1378
Pr Th Pd
1 2 1
Direct
0.0000 0.0000 0.0000 Pr
0.1018 0.1018 0.1018 Th
0.8982 0.8982 0.8982 Th
0.5000 0.5000 0.5000 Pd
```

Values from the calculation:
As for the energy above the lowest structure with this stoichiometry: 371 meV/atom.

---

Entry 5:
Crystalline PrTh2Pd at its relaxed geometry, computed with PBE-GGA.

POSCAR file:
```
PrTh2Pd
1.0
1.8852 1.0884 9.9177
-1.8852 1.0884 9.9177
0.0000 -2.1769 9.9177
Pr Th Pd
1 2 1
Direct
0.0000 0.0000 0.0000 Pr
0.5692 0.5692 0.5692 Th
0.7670 0.7670 0.7670 Th
0.1695 0.1695 0.1695 Pd
```

Values from the calculation:
As for the energy above the lowest structure with this stoichiometry: 181 meV/atom.

---

Entry 6:
Crystalline PrThPd2 at its relaxed geometry, computed with PBE-GGA.

POSCAR file:
```
PrThPd2
1.0
2.0956 1.2099 7.0164
-2.0956 1.2099 7.0164
0.0000 -2.4198 7.0164
Pr Th Pd
1 1 2
Direct
0.0000 0.0000 0.0000 Pr
0.5000 0.5000 0.5000 Th
0.2457 0.2457 0.2457 Pd
0.7543 0.7543 0.7543 Pd
```

Values from the calculation:
As for the energy above the lowest structure with this stoichiometry: 90 meV/atom.

---

Entry 7:
Crystalline PrTh2Pd9 at its relaxed geometry, computed with PBE-GGA.

POSCAR file:
```
PrTh2Pd9
1.0
4.2198 0.0000 0.0000
0.0000 4.2198 0.0000
0.0000 0.0000 12.6580
Pr Th Pd
1 2 9
Direct
0.0000 0.0000 0.0000 Pr
0.0000 0.0000 0.3313 Th
0.0000 0.0000 0.6687 Th
0.0000 0.5000 0.1707 Pd
0.0000 0.5000 0.5000 Pd
0.0000 0.5000 0.8293 Pd
0.5000 0.0000 0.1707 Pd
0.5000 0.0000 0.5000 Pd
0.5000 0.0000 0.8293 Pd
0.5000 0.5000 0.0000 Pd
0.5000 0.5000 0.3357 Pd
0.5000 0.5000 0.6643 Pd
```

Values from the calculation:
The calculation puts the energy at -0.236 hartree per atom.

---

Entry 8:
Crystalline Pr3ThPd12 at its relaxed geometry, computed with PBE-GGA.

POSCAR file:
```
Pr3ThPd12
1.0
4.2191 0.0000 0.0000
0.0000 4.2191 0.0000
0.0000 0.0000 16.8593
Pr Th Pd
3 1 12
Direct
0.0000 0.0000 0.0000 Pr
0.0000 0.0000 0.2492 Pr
0.0000 0.0000 0.7508 Pr
0.0000 0.0000 0.5000 Th
0.0000 0.5000 0.1257 Pd
0.0000 0.5000 0.3782 Pd
0.0000 0.5000 0.6218 Pd
0.0000 0.5000 0.8743 Pd
0.5000 0.0000 0.1257 Pd
0.5000 0.0000 0.3782 Pd
0.5000 0.0000 0.6218 Pd
0.5000 0.0000 0.8743 Pd
0.5000 0.5000 0.0000 Pd
0.5000 0.5000 0.2518 Pd
0.5000 0.5000 0.5000 Pd
0.5000 0.5000 0.7482 Pd
```

Values from the calculation:
The calculation puts the energy at -0.223 hartree per atom.

---

Entry 9:
Crystalline PrThPd6 at its relaxed geometry, computed with PBE-GGA.

POSCAR file:
```
PrThPd6
1.0
4.2146 0.0000 0.0000
0.0000 4.2146 0.0000
0.0000 0.0000 8.4298
Pr Th Pd
1 1 6
Direct
0.0000 0.0000 0.0000 Pr
0.0000 0.0000 0.5000 Th
0.0000 0.5000 0.2553 Pd
0.0000 0.5000 0.7447 Pd
0.5000 0.0000 0.2553 Pd
0.5000 0.0000 0.7447 Pd
0.5000 0.5000 0.0000 Pd
0.5000 0.5000 0.5000 Pd
```

Values from the calculation:
The calculation puts the energy at -0.232 hartree per atom.

---

Entry 10:
Crystalline PrTh2Pd2 at its relaxed geometry, computed with PBE-GGA.

POSCAR file:
```
PrTh2Pd2
1.0
8.2888 0.0000 0.0000
0.0000 8.2888 0.0000
0.0000 0.0000 3.8117
Pr Th Pd
2 4 4
Direct
0.0000 0.0000 0.0000 Pr
0.5000 0.5000 0.0000 Pr
0.1680 0.3320 0.5000 Th
0.3320 0.8320 0.5000 Th
0.6680 0.1680 0.5000 Th
0.8320 0.6680 0.5000 Th
0.1245 0.6245 0.0000 Pd
0.3755 0.1245 0.0000 Pd
0.6245 0.8755 0.0000 Pd
0.8755 0.3755 0.0000 Pd
```

Values from the calculation:
As for the energy above the lowest structure with this stoichiometry: 0 meV/atom.

---

Entry 11:
Crystalline PrThTlPd at its relaxed geometry, computed with PBE-GGA.

POSCAR file:
```
PrThTlPd
1.0
0.0000 3.7894 3.7894
3.7894 0.0000 3.7894
3.7894 3.7894 0.0000
Pr Th Tl Pd
1 1 1 1
Direct
0.0000 0.0000 0.0000 Pr
0.5000 0.5000 0.5000 Th
0.7500 0.7500 0.7500 Tl
0.2500 0.2500 0.2500 Pd
```

Values from the calculation:
The calculation puts the energy at -0.194 hartree per atom.

---

Entry 12:
Crystalline PrTi2Pd9 at its relaxed geometry, computed with PBE-GGA.

POSCAR file:
```
PrTi2Pd9
1.0
4.0330 0.0000 0.0000
0.0000 4.0330 0.0000
0.0000 0.0000 12.0428
Pr Ti Pd
1 2 9
Direct
0.0000 0.0000 0.0000 Pr
0.0000 0.0000 0.3385 Ti
0.0000 0.0000 0.6615 Ti
0.0000 0.5000 0.1864 Pd
0.0000 0.5000 0.5000 Pd
0.0000 0.5000 0.8136 Pd
0.5000 0.0000 0.1864 Pd
0.5000 0.0000 0.5000 Pd
0.5000 0.0000 0.8136 Pd
0.5000 0.5000 0.0000 Pd
0.5000 0.5000 0.3424 Pd
0.5000 0.5000 0.6576 Pd
```

Values from the calculation:
The calculation puts the energy at -0.231 hartree per atom.

---

Entry 13:
Crystalline Pr4TlPd at its relaxed geometry, computed with PBE-GGA.

POSCAR file:
```
Pr4TlPd
1.0
4.5138 -7.2501 0.0000
4.5138 7.2501 0.0000
-2.3507 0.0000 5.5977
Pr Tl Pd
8 2 2
Direct
0.0780 0.6962 0.9281 Pr
0.2026 0.3570 0.6476 Pr
0.3038 0.9220 0.5719 Pr
0.3570 0.2026 0.1476 Pr
0.6430 0.7974 0.8524 Pr
0.6962 0.0780 0.4281 Pr
0.7974 0.6430 0.3524 Pr
0.9220 0.3038 0.0719 Pr
0.3841 0.6159 0.2500 Tl
0.6159 0.3841 0.7500 Tl
0.0032 0.9968 0.2500 Pd
0.9968 0.0032 0.7500 Pd
```

Values from the calculation:
As for the energy above the lowest structure with this stoichiometry: 9 meV/atom.

---

Entry 14:
Crystalline Pr6Tl2Pd at its relaxed geometry, computed with PBE-GGA.

POSCAR file:
```
Pr6Tl2Pd
1.0
9.0706 0.0000 0.0000
-4.5353 7.8554 0.0000
0.0000 0.0000 3.9349
Pr Tl Pd
6 2 1
Direct
0.0000 0.4009 0.0000 Pr
0.0000 0.7519 0.5000 Pr
0.2481 0.2481 0.5000 Pr
0.4009 0.0000 0.0000 Pr
0.5991 0.5991 0.0000 Pr
0.7519 0.0000 0.5000 Pr
0.3333 0.6667 0.5000 Tl
0.6667 0.3333 0.5000 Tl
0.0000 0.0000 0.0000 Pd
```

Values from the calculation:
As for the energy above the lowest structure with this stoichiometry: 0 meV/atom.

---

Entry 15:
Crystalline Pr6TlPd2 at its relaxed geometry, computed with PBE-GGA.

POSCAR file:
```
Pr6TlPd2
1.0
-4.8649 5.1684 5.4587
4.8649 -5.1684 5.4587
4.8649 5.1684 -5.4587
Pr Tl Pd
12 2 4
Direct
0.0380 0.2359 0.8021 Pr
0.1836 0.2899 0.4735 Pr
0.1836 0.7101 0.8936 Pr
0.3250 0.0221 0.6971 Pr
0.3250 0.6279 0.3029 Pr
0.4338 0.2359 0.1979 Pr
0.5662 0.7641 0.8021 Pr
0.6750 0.3721 0.6971 Pr
0.6750 0.9779 0.3029 Pr
0.8164 0.2899 0.1064 Pr
0.8164 0.7101 0.5265 Pr
0.9620 0.7641 0.1979 Pr
0.0000 0.0000 0.0000 Tl
0.5000 0.5000 0.0000 Tl
0.1276 0.6276 0.5000 Pd
0.3527 0.0000 0.3527 Pd
0.6473 0.0000 0.6473 Pd
0.8724 0.3724 0.5000 Pd
```

Values from the calculation:
The calculation puts the energy at -0.185 hartree per atom.

---

Entry 16:
Crystalline Pr6TlPd3 at its relaxed geometry, computed with PBE-GGA.

POSCAR file:
```
Pr6TlPd3
1.0
5.8897 -6.7371 0.0000
5.8897 6.7371 0.0000
0.0000 0.0000 7.3523
Pr Tl Pd
12 2 6
Direct
0.0602 0.4970 0.6661 Pr
0.0778 0.9222 0.5000 Pr
0.2027 0.7973 0.9983 Pr
0.3062 0.3808 0.0441 Pr
0.3808 0.3062 0.5441 Pr
0.4970 0.0602 0.1661 Pr
0.5030 0.9398 0.6661 Pr
0.6192 0.6938 0.0441 Pr
0.6938 0.6192 0.5441 Pr
0.7973 0.2027 0.4983 Pr
0.9222 0.0778 0.0000 Pr
0.9398 0.5030 0.1661 Pr
0.3268 0.6732 0.3680 Tl
0.6732 0.3268 0.8680 Tl
0.0963 0.2396 0.3288 Pd
0.2396 0.0963 0.8288 Pd
0.3825 0.6175 0.7515 Pd
0.6175 0.3825 0.2515 Pd
0.7604 0.9037 0.3288 Pd
0.9037 0.7604 0.8288 Pd
```

Values from the calculation:
The calculation puts the energy at -0.188 hartree per atom.

---

Entry 17:
Crystalline Pr6Tl2Pd at its relaxed geometry, computed with PBE-GGA.

POSCAR file:
```
Pr6Tl2Pd
1.0
10.4043 0.0000 0.0000
0.0000 10.4043 0.0000
0.0000 0.0000 5.1681
Pr Tl Pd
12 4 2
Direct
0.0206 0.3157 0.0000 Pr
0.1141 0.8859 0.5000 Pr
0.1843 0.5206 0.5000 Pr
0.3157 0.0206 0.0000 Pr
0.3859 0.3859 0.0000 Pr
0.4794 0.8157 0.5000 Pr
0.5206 0.1843 0.5000 Pr
0.6141 0.6141 0.0000 Pr
0.6843 0.9794 0.0000 Pr
0.8157 0.4794 0.5000 Pr
0.8859 0.1141 0.5000 Pr
0.9794 0.6843 0.0000 Pr
0.2064 0.2064 0.5000 Tl
0.2936 0.7064 0.0000 Tl
0.7064 0.2936 0.0000 Tl
0.7936 0.7936 0.5000 Tl
0.0000 0.0000 0.0000 Pd
0.5000 0.5000 0.5000 Pd
```

Values from the calculation:
As for the energy above the lowest structure with this stoichiometry: 56 meV/atom.

---

Entry 18:
Crystalline Pr11Tl9Pd4 at its relaxed geometry, computed with PBE-GGA.

POSCAR file:
```
Pr11Tl9Pd4
1.0
7.6073 -11.4373 0.0000
7.6073 11.4373 0.0000
0.0000 0.0000 3.8724
Pr Tl Pd
11 9 4
Direct
0.0000 0.0000 0.0000 Pr
0.0745 0.4143 0.0000 Pr
0.1632 0.8368 0.0000 Pr
0.3089 0.3089 0.0000 Pr
0.3724 0.6276 0.0000 Pr
0.4143 0.0745 0.0000 Pr
0.5857 0.9255 0.0000 Pr
0.6276 0.3724 0.0000 Pr
0.6911 0.6911 0.0000 Pr
0.8368 0.1632 0.0000 Pr
0.9255 0.5857 0.0000 Pr
0.0725 0.2163 0.5000 Tl
0.1571 0.6310 0.5000 Tl
0.2163 0.0725 0.5000 Tl
0.3690 0.8429 0.5000 Tl
0.5000 0.5000 0.5000 Tl
0.6310 0.1571 0.5000 Tl
0.7837 0.9275 0.5000 Tl
0.8429 0.3690 0.5000 Tl
0.9275 0.7837 0.5000 Tl
0.2480 0.4486 0.5000 Pd
0.4486 0.2480 0.5000 Pd
0.5514 0.7520 0.5000 Pd
0.7520 0.5514 0.5000 Pd
```

Values from the calculation:
The calculation puts the energy at -0.165 hartree per atom.

---

Entry 19:
Crystalline Pr5TlPd2 at its relaxed geometry, computed with PBE-GGA.

POSCAR file:
```
Pr5TlPd2
1.0
-4.0963 4.0963 6.9550
4.0963 -4.0963 6.9550
4.0963 4.0963 -6.9550
Pr Tl Pd
10 2 4
Direct
0.0000 0.0000 0.0000 Pr
0.0176 0.5176 0.8177 Pr
0.1999 0.0176 0.5000 Pr
0.3001 0.8001 0.8177 Pr
0.4824 0.3001 0.5000 Pr
0.5000 0.5000 0.0000 Pr
0.5176 0.6999 0.5000 Pr
0.6999 0.1999 0.1823 Pr
0.8001 0.9824 0.5000 Pr
0.9824 0.4824 0.1823 Pr
0.2500 0.2500 0.0000 Tl
0.7500 0.7500 0.0000 Tl
0.1308 0.3692 0.5000 Pd
0.3692 0.8692 0.2385 Pd
0.6308 0.1308 0.7615 Pd
0.8692 0.6308 0.5000 Pd
```

Values from the calculation:
The calculation puts the energy at -0.186 hartree per atom.

---

Entry 20:
Crystalline PrTl2Pd at its relaxed geometry, computed with PBE-GGA.

POSCAR file:
```
PrTl2Pd
1.0
4.4948 0.0000 0.0000
0.0000 4.4948 0.0000
0.0000 0.0000 5.0013
Pr Tl Pd
1 2 1
Direct
0.0000 0.0000 0.0000 Pr
0.0000 0.5000 0.5000 Tl
0.5000 0.0000 0.5000 Tl
0.5000 0.5000 0.0000 Pd
```

Values from the calculation:
The calculation puts the energy at -0.147 hartree per atom.

---

Entry 21:
Crystalline PrTl3Pd3 at its relaxed geometry, computed with PBE-GGA.

POSCAR file:
```
PrTl3Pd3
1.0
4.6483 2.6837 2.1791
-4.6483 2.6837 2.1791
0.0000 -5.3673 2.1791
Pr Tl Pd
1 3 3
Direct
0.0000 0.0000 0.0000 Pr
0.4190 0.4190 0.8070 Tl
0.4190 0.8070 0.4190 Tl
0.8070 0.4190 0.4190 Tl
0.4708 0.9560 0.9560 Pd
0.9560 0.4708 0.9560 Pd
0.9560 0.9560 0.4708 Pd
```

Values from the calculation:
As for the energy above the lowest structure with this stoichiometry: 0 meV/atom.